Entry 1:
The following is a DFT calculation (SCAN) of a crystal of BaFeSi2 relaxed with PBEsol.

ρ, g cm⁻³: 5.016
Spin magnetization, μB per atom: 0.59
VASP energy, eV/atom: -19.386
Symmetry: Pmm2, No. 25
Density of states at the Fermi level, states/eV/f.u.: 2.076
V, Å³/f.u.: 82.5
E_form (uncorrected), eV/atom: 0.042

Cell and atoms, written as POSCAR:
```
BaFeSi2
1.0
-0.897 0.250 3.384
1.555 -3.229 0.650
5.601 2.951 1.266
Ba Si Fe
1 2 1
direct
0.000 0.375 0.471
0.500 0.875 0.166
0.000 0.875 0.916
0.500 0.375 0.947
```



Entry 2:
The following is a DFT calculation (SCAN) of a crystal of AsPRu2 relaxed with PBEsol.

ρ, g cm⁻³: 8.822
Spin magnetization, μB per atom: 0.00
VASP energy, eV/atom: -25.393
Symmetry: Cm, No. 8
Density of states at the Fermi level, states/eV/f.u.: 2.155
V, Å³/f.u.: 58.0
Energy above the most stable polymorph in this dataset, eV per formula unit: 0.000
ΔE_f, eV per atom: -0.333

Cell and atoms, written as POSCAR:
```
AsPRu2
1.0
-1.063 0.498 2.845
1.056 -4.095 -0.554
4.243 2.093 1.219
Ru P As
2 1 1
direct
0.028 0.056 0.140
0.241 0.482 0.735
0.734 0.469 0.089
0.497 0.993 0.536
```



Entry 3:
The following is a DFT calculation (SCAN) of a crystal of KLiW6O18 relaxed with PBEsol.

ρ, g cm⁻³: 6.515
Spin magnetization, μB per atom: 0.00
VASP energy, eV/atom: -23.067
Symmetry: P3m1, No. 156
Density of states at the Fermi level, states/eV/f.u.: 3.801
V, Å³/f.u.: 366.3
E_form (uncorrected), eV/atom: -2.259

Cell and atoms, written as POSCAR:
```
KLiW6O18
1.0
7.434 0.019 0.001
3.701 6.448 0.001
-0.001 0.000 7.652
O Li W K
18 1 6 1
direct
0.424 0.786 0.504
0.214 0.567 0.004
0.212 0.571 0.486
0.487 0.487 0.745
0.212 0.212 0.486
0.214 0.214 0.004
0.571 0.212 0.486
0.786 0.786 0.504
0.488 0.021 0.745
0.507 0.507 0.247
0.981 0.507 0.247
0.507 0.981 0.247
0.567 0.214 0.004
0.784 0.427 0.987
0.786 0.424 0.504
0.784 0.784 0.988
0.021 0.488 0.745
0.427 0.784 0.987
0.332 0.332 0.755
0.500 0.996 0.494
0.996 0.500 0.494
0.996 0.500 0.998
0.499 0.499 0.494
0.500 0.500 0.998
0.500 0.996 0.998
0.999 0.999 0.363
```



Entry 4:
The following is a DFT calculation (SCAN) of a crystal of Zr4IrW relaxed with PBEsol.

ρ, g cm⁻³: 10.824
Spin magnetization, μB per atom: 0.00
VASP energy, eV/atom: -43.320
Symmetry: F-43m, No. 216
Density of states at the Fermi level, states/eV/f.u.: 7.709
V, Å³/f.u.: 113.7
ΔE_f, eV per atom: 0.610

Cell and atoms, written as POSCAR:
```
Zr4IrW
1.0
-1.918 0.625 5.049
-5.359 0.348 0.849
-2.639 -4.086 2.431
Zr Ir W
4 1 1
direct
0.375 0.375 0.375
0.375 0.375 0.874
0.375 0.874 0.375
0.874 0.375 0.375
0.750 0.750 0.750
0.000 0.000 0.000
```



Entry 5:
The following is a DFT calculation (SCAN) of a crystal of KSbAs3 relaxed with PBEsol.

ρ, g cm⁻³: 4.534
Spin magnetization, μB per atom: 0.00
VASP energy, eV/atom: -19.537
Symmetry: Pm-3m, No. 221
Density of states at the Fermi level, states/eV/f.u.: 4.790
V, Å³/f.u.: 141.2
E_form (uncorrected), eV/atom: 1.695

Cell and atoms, written as POSCAR:
```
KSbAs3
1.0
-3.562 -0.431 -3.775
-3.226 -2.391 3.316
-2.007 4.606 1.368
As K Sb
3 1 1
direct
0.500 0.000 0.000
0.000 0.500 0.000
0.000 0.000 0.500
0.000 0.000 0.000
0.500 0.500 0.500
```



Entry 6:
The following is a DFT calculation (SCAN) of a crystal of ZrMo2As relaxed with PBEsol.

ρ, g cm⁻³: 8.922
Spin magnetization, μB per atom: 0.00
VASP energy, eV/atom: -30.328
Symmetry: C2/m, No. 12
Density of states at the Fermi level, states/eV/f.u.: 2.413
V, Å³/f.u.: 66.6
ΔE_f, eV per atom: -0.163

Cell and atoms, written as POSCAR:
```
ZrMo2As
1.0
3.287 0.000 0.000
0.000 4.543 0.005
-1.644 -1.301 4.461
Zr Mo As
1 2 1
direct
0.000 0.500 0.000
0.237 0.209 0.474
0.763 0.791 0.526
0.500 0.000 0.000
```



Entry 7:
The following is a DFT calculation (SCAN) of a crystal of Na6MgO4 relaxed with PBEsol.

ρ, g cm⁻³: 2.508
Spin magnetization, μB per atom: 0.02
VASP energy, eV/atom: -6.666
Symmetry: P4_2/nmc, No. 137
Density of states at the Fermi level, states/eV/f.u.: 0.000
V, Å³/f.u.: 149.8
E_form (uncorrected), eV/atom: -1.649

Cell and atoms, written as POSCAR:
```
Na6MgO4
1.0
-1.368 1.019 5.182
-4.651 -5.767 -0.094
5.460 -4.442 2.315
Mg Na O
2 12 8
direct
0.000 0.500 0.500
0.500 0.000 0.000
0.500 0.712 0.288
0.500 0.712 0.712
0.500 0.288 0.712
0.000 0.212 0.788
0.000 0.788 0.212
0.089 0.500 0.000
0.000 0.212 0.212
0.500 0.288 0.288
0.000 0.788 0.788
0.589 0.500 0.000
0.911 0.000 0.500
0.411 0.000 0.500
0.182 0.258 0.500
0.318 0.242 0.000
0.318 0.758 0.000
0.818 0.500 0.742
0.682 0.000 0.758
0.818 0.500 0.258
0.682 0.000 0.242
0.182 0.742 0.500
```



Entry 8:
The following is a DFT calculation (SCAN) of a crystal of CuBiP2Se6 relaxed with PBEsol.

ρ, g cm⁻³: 5.546
Spin magnetization, μB per atom: 0.00
VASP energy, eV/atom: -23.675
Symmetry: P-31c, No. 163
V, Å³/f.u.: 242.0
Energy above the most stable polymorph in this dataset, eV per formula unit: 0.083
E_form (uncorrected), eV/atom: -0.171

Cell and atoms, written as POSCAR:
```
CuBiP2Se6
1.0
6.496 0.000 0.000
-3.248 5.626 0.000
0.000 0.000 13.242
Se P Bi Cu
12 4 2 2
direct
0.319 0.291 0.880
0.972 0.681 0.880
0.319 0.028 0.620
0.681 0.972 0.380
0.709 0.028 0.880
0.709 0.681 0.620
0.028 0.709 0.380
0.972 0.291 0.620
0.681 0.709 0.120
0.028 0.319 0.120
0.291 0.972 0.120
0.291 0.319 0.380
0.667 0.333 0.836
0.667 0.333 0.664
0.333 0.667 0.336
0.333 0.667 0.164
0.667 0.333 0.250
0.333 0.667 0.750
0.000 0.000 0.750
0.000 0.000 0.250
```